Mn2TcPbO6 | PBE+U | relaxed

Results
Its final energy is -7.2616 eV per atom. The magnetization comes out at 11.01 μB per cell. As for the density of states at the Fermi level: 0.388 states/eV per atom.

Unit cell a=5.5220 b=5.5228 c=5.8992 alpha=62.11 beta=62.10 gamma=59.98
Last column: nearest neighbours and their distance in Å.
Atoms (fractional coordinates):
O1 0.5707 0.2575 0.2200  1 Tc 1.92
O2 0.9520 0.5706 0.2198  1 Tc 1.92
O3 0.2581 0.9518 0.2197  1 Tc 1.92
O4 0.7041 0.1643 0.7679  1 Tc 2.04, 2 Mn 2.09-2.25
O5 0.1639 0.3636 0.7683  1 Tc 2.04, 2 Mn 2.09-2.25
O6 0.3636 0.7042 0.7683  1 Tc 2.04, 2 Mn 2.09-2.25
Mn1 0.5228 0.5228 0.4316  6 O 2.19-2.25
Mn2 0.0139 0.0141 0.9580  6 O 2.09-2.30
Pb1 0.7938 0.7940 0.6180  3 O 2.34
Tc1 0.3187 0.3187 0.0437  6 O 1.92-2.04